VASP calculation (PBE with a Hubbard U) on a relaxed structure of MnIO3.

a = 3.816 Å, b = 3.816 Å, c = 3.816 Å
α = 90.00°, β = 90.00°, γ = 90.00°
Positions (direct):
O 0.000 0.000 0.500
I 0.500 0.500 0.500
O 0.500 0.000 0.000
O 0.000 0.500 0.000
Mn 0.000 0.000 0.000

Output
Final energy = -4.630 eV/atom
Calculated density = 6.9 g/cm3
V = 56 Å³/f.u.
SG = Pm-3m (221)